The following is a DFT calculation (PBE+U) of a relaxed Fe2TeHO6 crystal.

Cell lengths 5.1770, 5.3384, 5.5691 Å; angles 116.01, 91.24, 118.90 degrees
Positions (direct):
Fe 0.0000 0.0000 0.0000
Fe 0.4856 0.9478 0.4574
Te 0.7981 0.5795 0.3943
H 0.0845 0.4618 0.6785
O 0.0471 0.4368 0.1935
O 0.1771 0.9984 0.6663
O 0.4188 0.1414 0.2050
O 0.6158 0.7551 0.6704
O 0.7374 0.7708 0.1915
O 0.8855 0.4441 0.6722

Output
SG: No. 1
Electronic total energy (eV per cell): -59.14